[1]
Density functional theory data (PBE) for a relaxed structure of Cs2InSBr6.

Geometry as POSCAR:
```
Cs2InSBr6
1.0
7.665 0.000 0.000
0.000 7.665 0.000
3.832 3.832 6.251
Br Cs In S
6 2 1 1
direct
0.218 0.218 0.563
0.739 0.261 0.000
0.261 0.261 0.000
0.739 0.739 0.000
0.261 0.739 0.000
0.782 0.782 0.437
0.250 0.750 0.500
0.750 0.250 0.500
0.000 0.000 0.000
0.500 0.500 0.000
```

Properties
M_tot = 0.00 Bohr magnetons per cell
Space-group type = I4/mmm, No. 139
Raw formation energy = -904 meV/atom
N(E_F) = 4.43 states/eV/cell
Calculated density = 4.03 g/cm³

=====

[2]
Density functional theory data (PBE) for a relaxed structure of CsInSBr2.

Geometry as POSCAR:
```
CsInSBr2
1.0
-5.449 1.514 -1.164
-1.550 -5.562 0.019
-0.960 0.285 4.866
S Br In Cs
1 2 1 1
direct
0.000 0.000 0.500
0.000 0.500 0.000
0.500 0.000 0.000
0.000 0.000 0.000
0.500 0.500 0.500
```

Properties
M_tot = 0.00 Bohr magnetons per cell
Space-group type = P4/mmm, No. 123
Raw formation energy = -943 meV/atom
N(E_F) = 2.66 states/eV/cell
Calculated density = 4.41 g/cm³

=====

[3]
Density functional theory data (PBE) for a relaxed structure of Cs2InSeBr6.

Geometry as POSCAR:
```
Cs2InSeBr6
1.0
-4.544 -6.166 -1.576
6.363 -4.434 -0.999
0.825 -6.780 4.745
Br Cs Se In
6 2 1 1
direct
0.258 0.258 0.000
0.258 0.742 0.000
0.779 0.779 0.441
0.221 0.221 0.559
0.742 0.742 0.000
0.742 0.258 0.000
0.750 0.250 0.500
0.250 0.750 0.500
0.500 0.500 0.000
0.000 0.000 0.000
```

Properties
M_tot = 0.00 Bohr magnetons per cell
Space-group type = I4/mmm, No. 139
Raw formation energy = -967 meV/atom
N(E_F) = 4.49 states/eV/cell
Calculated density = 4.10 g/cm³

=====

[4]
Density functional theory data (PBE) for a relaxed structure of CsIn2SnBr5.

Geometry as POSCAR:
```
CsIn2SnBr5
1.0
-1.384 -8.024 -3.951
6.390 1.911 -6.118
3.353 -0.429 10.062
Sn Br In Cs
2 10 4 2
direct
0.750 0.250 0.500
0.250 0.750 0.500
0.687 0.187 0.715
0.187 0.028 0.715
0.972 0.472 0.285
0.000 0.000 0.000
0.313 0.813 0.285
0.472 0.313 0.285
0.028 0.528 0.715
0.813 0.972 0.285
0.528 0.687 0.715
0.500 0.500 0.000
0.672 0.172 0.000
0.328 0.828 0.000
0.172 0.328 0.000
0.828 0.672 0.000
0.250 0.250 0.500
0.750 0.750 0.500
```

Properties
M_tot = 0.00 Bohr magnetons per cell
Space-group type = I4/mcm, No. 140
Raw formation energy = -909 meV/atom
N(E_F) = 0.00 states/eV/cell
Calculated density = 4.22 g/cm³

=====

[5]
Density functional theory data (PBE) for a relaxed structure of Cs3InSn2Br9.

Geometry as POSCAR:
```
Cs3InSn2Br9
1.0
-1.274 8.006 -1.582
-5.968 -5.508 -1.506
-3.561 1.290 9.393
Br Sn Cs In
9 2 3 1
direct
0.500 0.500 0.000
0.834 0.668 0.668
0.000 0.500 0.000
0.668 0.834 0.332
0.166 0.332 0.332
0.166 0.834 0.332
0.500 0.000 0.000
0.332 0.166 0.668
0.834 0.166 0.668
0.667 0.333 0.829
0.333 0.667 0.171
0.000 0.000 0.000
0.333 0.667 0.668
0.667 0.333 0.332
0.000 0.000 0.500
```

Properties
M_tot = 0.00 Bohr magnetons per cell
Space-group type = P-3m1, No. 164
Raw formation energy = -1204 meV/atom
N(E_F) = 3.68 states/eV/cell
Calculated density = 4.08 g/cm³

=====

[6]
Density functional theory data (PBE) for a relaxed structure of CsIn2SnBr8.

Geometry as POSCAR:
```
CsIn2SnBr8
1.0
-1.454 -2.807 -6.597
4.197 -5.345 -2.707
-5.343 -9.870 1.322
In Sn Br Cs
2 1 8 1
direct
0.749 0.749 0.753
0.251 0.251 0.247
0.000 0.000 0.000
0.618 0.287 0.170
0.832 0.832 0.505
0.287 0.925 0.170
0.168 0.168 0.495
0.382 0.713 0.830
0.713 0.075 0.830
0.075 0.382 0.830
0.925 0.618 0.170
0.500 0.500 0.500
```

Properties
M_tot = 0.00 Bohr magnetons per cell
Space-group type = R-3, No. 148
Raw formation energy = -886 meV/atom
N(E_F) = 7.34 states/eV/cell
Calculated density = 3.83 g/cm³